# 1
Density functional theory data (GGA-PBE) for an optimized crystal structure of Ce3Zn2Pd7.

Unit cell a=13.9640 b=13.9640 c=4.0426 alpha=90.00 beta=90.00 gamma=162.73
Closest atoms and distances in Å follow each position.
Fractional coordinates of all 12 atoms:
Ce: 0.0000 0.0000 0.0000  12 Pd 2.91-2.94
Ce: 0.1808 0.8192 0.0000  6 Pd 3.10-3.41, 4 Zn 3.24
Ce: 0.8192 0.1808 0.0000  6 Pd 3.10-3.41, 4 Zn 3.24
Zn: 0.3704 0.6296 0.5000  5 Pd 2.48-2.56
Zn: 0.6296 0.3704 0.5000  5 Pd 2.48-2.56
Pd: 0.0763 0.9237 0.5000  2 Zn 2.56
Pd: 0.2805 0.7195 0.5000  1 Zn 2.48, 2 Pd 2.69
Pd: 0.4252 0.5748 0.0000  2 Zn 2.52
Pd: 0.5000 0.5000 0.5000  8 Pd 2.89-2.97, 4 Ce 2.91
Pd: 0.5748 0.4252 0.0000  2 Zn 2.52
Pd: 0.7195 0.2805 0.5000  1 Zn 2.48, 2 Pd 2.69
Pd: 0.9237 0.0763 0.5000  2 Zn 2.56

**Uncorrected energy**: -64.49 eV per formula unit
**Symmetry**: No. 65
**Total magnetic moment**: 2.11 μB/f.u.
**ΔH_f (0 K)**: -7.791 eV/f.u.

---

# 2
Density functional theory data (GGA-PBE) for an optimized crystal structure of CeZn11Pd.

Unit cell a=6.8902 b=6.8902 c=6.8492 alpha=98.02 beta=98.02 gamma=135.91
Closest atoms and distances in Å follow each position.
Fractional coordinates of all 13 atoms:
Ce: 0.0000 0.0000 0.0000  18 Zn 3.19-3.45, 2 Pd 3.42
Zn: 0.0000 0.5000 0.0000  10 Zn 2.59-2.79
Zn: 0.0083 0.6561 0.6441  8 Zn 2.63-2.89, 1 Pd 2.72
Zn: 0.2825 0.5028 0.7811  9 Zn 2.61-2.89, 1 Pd 2.63
Zn: 0.3439 0.9917 0.3559  8 Zn 2.63-2.89, 1 Pd 2.72
Zn: 0.4972 0.7175 0.2189  9 Zn 2.61-2.89, 1 Pd 2.63
Zn: 0.5000 0.0000 0.0000  10 Zn 2.59-2.79
Zn: 0.5000 0.5000 0.5000  2 Pd 2.59, 8 Zn 2.61-2.78
Zn: 0.5028 0.2825 0.7811  9 Zn 2.61-2.89, 1 Pd 2.63
Zn: 0.6561 0.0083 0.6441  8 Zn 2.63-2.89, 1 Pd 2.72
Zn: 0.7175 0.4972 0.2189  9 Zn 2.61-2.89, 1 Pd 2.63
Zn: 0.9917 0.3439 0.3559  8 Zn 2.63-2.89, 1 Pd 2.72
Pd: 0.0000 0.0000 0.5000  10 Zn 2.59-2.72

**Uncorrected energy**: -28.20 eV per formula unit
**Symmetry**: No. 12
**Total magnetic moment**: 0.81 μB/f.u.
**ΔH_f (0 K)**: -3.059 eV/f.u.

---

# 3
Density functional theory data (GGA-PBE) for an optimized crystal structure of CeZn6Pd4.

Unit cell a=7.2673 b=7.2673 c=4.1203 alpha=90.00 beta=90.00 gamma=120.00
Closest atoms and distances in Å follow each position.
Fractional coordinates of all 11 atoms:
Ce: 0.0000 0.0000 0.0000  6 Pd 3.25, 6 Zn 3.29
Zn: 0.2042 0.4083 0.5000  4 Pd 2.54-2.62, 2 Zn 2.82
Zn: 0.2042 0.7958 0.5000  4 Pd 2.54-2.62, 2 Zn 2.82
Zn: 0.5370 0.0740 0.0000  5 Pd 2.56-2.64, 2 Zn 2.83
Zn: 0.5370 0.4630 0.0000  5 Pd 2.56-2.64, 2 Zn 2.83
Zn: 0.5917 0.7958 0.5000  4 Pd 2.54-2.62, 2 Zn 2.82
Zn: 0.9260 0.4630 0.0000  5 Pd 2.56-2.64, 2 Zn 2.83
Pd: 0.3333 0.6667 0.0000  9 Zn 2.56-2.62
Pd: 0.3993 0.1997 0.5000  6 Zn 2.54-2.64
Pd: 0.8003 0.1997 0.5000  6 Zn 2.54-2.64
Pd: 0.8003 0.6007 0.5000  6 Zn 2.54-2.64

**Uncorrected energy**: -39.20 eV per formula unit
**Symmetry**: No. 187
**Total magnetic moment**: 0.84 μB/f.u.
**ΔH_f (0 K)**: -4.855 eV/f.u.

---

- Among the records above, which one has the lowest ΔH_f (0 K)?
  Ce3Zn2Pd7

---

- Which formula does entry 2 have?
  CeZn11Pd

---

- Which value of ΔH_f (0 K) does entry 2 give?
  -3.059 eV/f.u.